# 1
## KPN2O (PBE)

Data for an optimized crystal structure of KPN2O.

Computed properties:
Crystal system: tetragonal
Symmetry: P4/mmm (123)
Uncorrected formation energy, eV per atom: 0.29

The structure in CIF format:
```
data_KPN2O
_chemical_formula_sum 'K1 P1 N2 O1'
_cell_length_a 3.5277
_cell_length_b 3.5277
_cell_length_c 4.0217
_cell_angle_alpha 90.00
_cell_angle_beta 90.00
_cell_angle_gamma 90.00
_symmetry_space_group_name_H-M 'P 1'
_symmetry_Int_Tables_number 1
loop_
_symmetry_equiv_pos_as_xyz
'x,y,z'
loop_
_atom_site_label
_atom_site_type_symbol
_atom_site_fract_x
_atom_site_fract_y
_atom_site_fract_z
P1 P 0.0000 0.0000 0.0000
N1 N 0.5000 0.0000 0.0000
N2 N 0.0000 0.5000 0.0000
K1 K 0.5000 0.5000 0.5000
O1 O 0.0000 0.0000 0.5000
```

# 2
## NaTeH2Cl (PBE)

Data for an optimized crystal structure of NaTeH2Cl.

Computed properties:
Energy, eV/atom: -2.121
Crystal system: tetragonal
Symmetry: P4/mmm (123)

The structure in CIF format:
```
data_NaTeH2Cl
_chemical_formula_sum 'Na1 Te1 H2 Cl1'
_cell_length_a 4.1487
_cell_length_b 5.8959
_cell_length_c 4.1487
_cell_angle_alpha 90.00
_cell_angle_beta 90.00
_cell_angle_gamma 90.00
_symmetry_space_group_name_H-M 'P 1'
_symmetry_Int_Tables_number 1
loop_
_symmetry_equiv_pos_as_xyz
'x,y,z'
loop_
_atom_site_label
_atom_site_type_symbol
_atom_site_fract_x
_atom_site_fract_y
_atom_site_fract_z
Cl1 Cl 0.0000 0.0000 0.0000
Te1 Te 0.0000 0.5000 0.0000
H1 H 0.5000 0.0000 0.0000
H2 H 0.0000 0.0000 0.5000
Na1 Na 0.5000 0.5000 0.5000
```

# 3
## KZnFe2 (PBE)

Data for an optimized crystal structure of KZnFe2.

Computed properties:
Calculated formation energy, eV per atom: 0.57
Crystal system: monoclinic
Symmetry: Cm (8)

The structure in CIF format:
```
data_KZnFe2
_chemical_formula_sum 'K1 Zn1 Fe2'
_cell_length_a 4.3768
_cell_length_b 4.3768
_cell_length_c 7.1274
_cell_angle_alpha 83.70
_cell_angle_beta 83.70
_cell_angle_gamma 37.47
_symmetry_space_group_name_H-M 'P 1'
_symmetry_Int_Tables_number 1
loop_
_symmetry_equiv_pos_as_xyz
'x,y,z'
loop_
_atom_site_label
_atom_site_type_symbol
_atom_site_fract_x
_atom_site_fract_y
_atom_site_fract_z
Fe1 Fe 0.0050 0.0050 0.9836
Fe2 Fe 0.7217 0.7217 0.8617
K1 K 0.5001 0.5001 0.5079
Zn1 Zn 0.2732 0.2732 0.1467
```

# 4
## SrAsOs2 (PBE)

Data for an optimized crystal structure of SrAsOs2.

Computed properties:
Calculated formation energy, eV per atom: 0.83
Crystal system: trigonal
Symmetry: R-3m (166)

The structure in CIF format:
```
data_SrAsOs2
_chemical_formula_sum 'Sr1 As1 Os2'
_cell_length_a 8.6402
_cell_length_b 8.6402
_cell_length_c 8.6402
_cell_angle_alpha 21.50
_cell_angle_beta 21.50
_cell_angle_gamma 21.50
_symmetry_space_group_name_H-M 'P 1'
_symmetry_Int_Tables_number 1
loop_
_symmetry_equiv_pos_as_xyz
'x,y,z'
loop_
_atom_site_label
_atom_site_type_symbol
_atom_site_fract_x
_atom_site_fract_y
_atom_site_fract_z
As1 As 0.2500 0.2500 0.2500
Os1 Os 0.5175 0.5175 0.5175
Os2 Os 0.9825 0.9825 0.9825
Sr1 Sr 0.7500 0.7500 0.7500
```

# 5
## Ac3IrSe2 (PBE)

Data for an optimized crystal structure of Ac3IrSe2.

Computed properties:
Crystal system: orthorhombic
Symmetry: Immm (71)
Uncorrected formation energy, eV per atom: -1.48

The structure in CIF format:
```
data_Ac3IrSe2
_chemical_formula_sum 'Ac6 Ir2 Se4'
_cell_length_a 6.3508
_cell_length_b 8.6225
_cell_length_c 7.9517
_cell_angle_alpha 105.74
_cell_angle_beta 113.54
_cell_angle_gamma 90.00
_symmetry_space_group_name_H-M 'P 1'
_symmetry_Int_Tables_number 1
loop_
_symmetry_equiv_pos_as_xyz
'x,y,z'
loop_
_atom_site_label
_atom_site_type_symbol
_atom_site_fract_x
_atom_site_fract_y
_atom_site_fract_z
Ac1 Ac 0.1466 0.0731 0.2933
Ac2 Ac 0.4999 0.7500 0.0000
Ac3 Ac 0.5001 0.2500 0.0000
Ac4 Ac 0.8533 0.4269 0.7067
Ac5 Ac 0.1467 0.5731 0.2933
Ac6 Ac 0.8534 0.9269 0.7067
Ir1 Ir 0.0003 0.2500 0.0000
Ir2 Ir 0.9997 0.7500 0.0000
Se1 Se 0.3265 0.9132 0.6530
Se2 Se 0.6735 0.0868 0.3470
Se3 Se 0.6735 0.5868 0.3470
Se4 Se 0.3265 0.4132 0.6530
```

# 6
## Ac3CuPd3 (PBE)

Data for an optimized crystal structure of Ac3CuPd3.

Computed properties:
Calculated formation energy, eV per atom: -0.51
Crystal system: hexagonal
Symmetry: P6_3/m (176)

The structure in CIF format:
```
data_Ac3CuPd3
_chemical_formula_sum 'Ac6 Cu2 Pd6'
_cell_length_a 6.0971
_cell_length_b 9.0364
_cell_length_c 9.0364
_cell_angle_alpha 120.00
_cell_angle_beta 90.00
_cell_angle_gamma 90.00
_symmetry_space_group_name_H-M 'P 1'
_symmetry_Int_Tables_number 1
loop_
_symmetry_equiv_pos_as_xyz
'x,y,z'
loop_
_atom_site_label
_atom_site_type_symbol
_atom_site_fract_x
_atom_site_fract_y
_atom_site_fract_z
Cu1 Cu 0.7500 0.3333 0.6667
Cu2 Cu 0.2500 0.6667 0.3333
Ac1 Ac 0.7500 0.6927 0.6319
Ac2 Ac 0.2500 0.3073 0.3681
Ac3 Ac 0.7500 0.3681 0.0608
Ac4 Ac 0.7500 0.9392 0.3073
Ac5 Ac 0.2500 0.0608 0.6927
Ac6 Ac 0.2500 0.6319 0.9392
Pd1 Pd 0.7500 0.3088 0.3700
Pd2 Pd 0.2500 0.3700 0.0612
Pd3 Pd 0.7500 0.0612 0.6912
Pd4 Pd 0.2500 0.6912 0.6300
Pd5 Pd 0.7500 0.6300 0.9388
Pd6 Pd 0.2500 0.9388 0.3088
```

# 7
## IrSeSBr2 (PBE)

Data for an optimized crystal structure of IrSeSBr2.

Computed properties:
Crystal system: tetragonal
Symmetry: P4/mmm (123)
Uncorrected formation energy, eV per atom: 0.72

The structure in CIF format:
```
data_IrSeSBr2
_chemical_formula_sum 'Ir1 Se1 S1 Br2'
_cell_length_a 5.1021
_cell_length_b 5.1021
_cell_length_c 4.7624
_cell_angle_alpha 90.00
_cell_angle_beta 90.00
_cell_angle_gamma 90.00
_symmetry_space_group_name_H-M 'P 1'
_symmetry_Int_Tables_number 1
loop_
_symmetry_equiv_pos_as_xyz
'x,y,z'
loop_
_atom_site_label
_atom_site_type_symbol
_atom_site_fract_x
_atom_site_fract_y
_atom_site_fract_z
Br1 Br 0.5000 0.0000 0.0000
Br2 Br 0.0000 0.5000 0.0000
S1 S 0.5000 0.5000 0.5000
Ir1 Ir 0.0000 0.0000 0.0000
Se1 Se 0.0000 0.0000 0.5000
```

# 8
## NbGaBr2 (PBE)

Data for an optimized crystal structure of NbGaBr2.

Computed properties:
Crystal system: trigonal
Symmetry: R-3m (166)
Uncorrected formation energy, eV per atom: -0.26

The structure in CIF format:
```
data_NbGaBr2
_chemical_formula_sum 'Nb1 Ga1 Br2'
_cell_length_a 10.3312
_cell_length_b 10.3312
_cell_length_c 10.3312
_cell_angle_alpha 18.54
_cell_angle_beta 18.54
_cell_angle_gamma 18.54
_symmetry_space_group_name_H-M 'P 1'
_symmetry_Int_Tables_number 1
loop_
_symmetry_equiv_pos_as_xyz
'x,y,z'
loop_
_atom_site_label
_atom_site_type_symbol
_atom_site_fract_x
_atom_site_fract_y
_atom_site_fract_z
Nb1 Nb 0.5000 0.5000 0.5000
Ga1 Ga 0.0000 0.0000 0.0000
Br1 Br 0.8954 0.8954 0.8954
Br2 Br 0.1046 0.1046 0.1046
```

# 9
## KCrCd4 (PBE)

Data for an optimized crystal structure of KCrCd4.

Computed properties:
Calculated formation energy, eV per atom: 0.25
Crystal system: cubic
Symmetry: F-43m (216)

The structure in CIF format:
```
data_KCrCd4
_chemical_formula_sum 'K1 Cr1 Cd4'
_cell_length_a 5.9577
_cell_length_b 5.9577
_cell_length_c 5.9577
_cell_angle_alpha 60.00
_cell_angle_beta 60.00
_cell_angle_gamma 60.00
_symmetry_space_group_name_H-M 'P 1'
_symmetry_Int_Tables_number 1
loop_
_symmetry_equiv_pos_as_xyz
'x,y,z'
loop_
_atom_site_label
_atom_site_type_symbol
_atom_site_fract_x
_atom_site_fract_y
_atom_site_fract_z
K1 K 0.0000 0.0000 0.0000
Cd1 Cd 0.3759 0.3759 0.3759
Cd2 Cd 0.3759 0.8723 0.3759
Cd3 Cd 0.8723 0.3759 0.3759
Cd4 Cd 0.3759 0.3759 0.8723
Cr1 Cr 0.7500 0.7500 0.7500
```

# 10
## RbLi2Sn (PBE)

Data for an optimized crystal structure of RbLi2Sn.

Computed properties:
Calculated formation energy, eV per atom: -0.20
Crystal system: trigonal
Symmetry: R-3m (166)

The structure in CIF format:
```
data_RbLi2Sn
_chemical_formula_sum 'Rb1 Li2 Sn1'
_cell_length_a 4.8831
_cell_length_b 4.8831
_cell_length_c 6.9175
_cell_angle_alpha 69.33
_cell_angle_beta 69.33
_cell_angle_gamma 60.00
_symmetry_space_group_name_H-M 'P 1'
_symmetry_Int_Tables_number 1
loop_
_symmetry_equiv_pos_as_xyz
'x,y,z'
loop_
_atom_site_label
_atom_site_type_symbol
_atom_site_fract_x
_atom_site_fract_y
_atom_site_fract_z
Sn1 Sn 0.0000 0.0000 0.0000
Rb1 Rb 0.5000 0.5000 0.5000
Li1 Li 0.3156 0.3156 0.0531
Li2 Li 0.6844 0.6844 0.9469
```

# 11
## CaSm2Rh (PBE)

Data for an optimized crystal structure of CaSm2Rh.

Computed properties:
Calculated formation energy, eV per atom: -0.36
Crystal system: trigonal
Symmetry: R3m (160)

The structure in CIF format:
```
data_CaSm2Rh
_chemical_formula_sum 'Ca1 Sm2 Rh1'
_cell_length_a 4.0749
_cell_length_b 4.0749
_cell_length_c 9.6349
_cell_angle_alpha 77.79
_cell_angle_beta 77.79
_cell_angle_gamma 60.00
_symmetry_space_group_name_H-M 'P 1'
_symmetry_Int_Tables_number 1
loop_
_symmetry_equiv_pos_as_xyz
'x,y,z'
loop_
_atom_site_label
_atom_site_type_symbol
_atom_site_fract_x
_atom_site_fract_y
_atom_site_fract_z
Sm1 Sm 0.0537 0.0537 0.8390
Sm2 Sm 0.2788 0.2788 0.1635
Rh1 Rh 0.6661 0.6661 0.0017
Ca1 Ca 0.5014 0.5014 0.4958
```

# 12
## Ho2CoCl (PBE)

Data for an optimized crystal structure of Ho2CoCl.

Computed properties:
Crystal system: trigonal
Symmetry: R3m (160)
Uncorrected formation energy, eV per atom: -0.83

The structure in CIF format:
```
data_Ho2CoCl
_chemical_formula_sum 'Ho2 Co1 Cl1'
_cell_length_a 3.7882
_cell_length_b 3.7882
_cell_length_c 7.7446
_cell_angle_alpha 75.84
_cell_angle_beta 75.84
_cell_angle_gamma 60.00
_symmetry_space_group_name_H-M 'P 1'
_symmetry_Int_Tables_number 1
loop_
_symmetry_equiv_pos_as_xyz
'x,y,z'
loop_
_atom_site_label
_atom_site_type_symbol
_atom_site_fract_x
_atom_site_fract_y
_atom_site_fract_z
Ho1 Ho 0.0664 0.0664 0.8006
Ho2 Ho 0.2697 0.2697 0.1910
Cl1 Cl 0.4964 0.4964 0.5109
Co1 Co 0.6675 0.6675 0.9975
```